Entry 1:
YTa2P: relaxed, PBE-GGA.

a = 9.394 Å, b = 3.502 Å, c = 5.705 Å
α = 90.00°, β = 121.56°, γ = 90.00°
Space group Cm (No. 8)
One atom of each set of equivalent atoms:
Y1 0.000 0.000 0.000 (multiplicity 2)
Ta1 0.189 0.000 0.721 (multiplicity 2)
Ta2 0.413 0.000 0.417 (multiplicity 2)
P1 0.212 0.500 0.433 (multiplicity 2)

Calculated values
The volume comes out at 20.0 A^3/atom. The value obtained for the formation energy is -0.75 eV/f.u.

***

Entry 2:
NaPuPt4: relaxed, PBE-GGA.

a = 7.649 Å, b = 7.649 Å, c = 7.649 Å
α = 90.00°, β = 90.00°, γ = 90.00°
Space group F-43m (No. 216)
One atom of each set of equivalent atoms:
Na1 0.000 0.000 0.000 (multiplicity 4)
Pu1 0.250 0.250 0.750 (multiplicity 4)
Pt1 0.125 0.125 0.375 (multiplicity 16)

Calculated values
The volume comes out at 18.6 A^3/atom. The value obtained for the formation energy is -3.83 eV/f.u.